LaRe4Se7 | PBE | relaxed

abc: 5.1372 5.3160 17.8613
angles: 90.00 90.00 90.00
Fractional coordinates of all 24 atoms:
1 Re 0.0859 0.3215 0.3587
2 Re 0.0859 0.3215 0.6413
3 Re 0.9870 0.6310 0.7567
4 Re 0.4870 0.3690 0.2567
5 Re 0.4870 0.3690 0.7433
6 Re 0.5859 0.6785 0.8587
7 Re 0.5859 0.6785 0.1413
8 Re 0.9870 0.6310 0.2433
9 Se 0.5314 0.8021 0.0000
10 Se 0.9946 0.7941 0.6215
11 Se 0.9946 0.7941 0.3785
12 Se 0.0437 0.6533 0.0998
13 Se 0.4946 0.2059 0.1215
14 Se 0.9410 0.1665 0.7631
15 Se 0.9410 0.1665 0.2369
16 Se 0.5437 0.3467 0.4002
17 Se 0.4410 0.8335 0.7369
18 Se 0.4410 0.8335 0.2631
19 Se 0.0314 0.1979 0.5000
20 Se 0.5437 0.3467 0.5998
21 Se 0.4946 0.2059 0.8785
22 Se 0.0437 0.6533 0.9002
23 La 0.5190 0.8627 0.5000
24 La 0.0190 0.1373 0.0000

LaReSe2 | PBE | relaxed

abc: 7.6594 4.8138 3.5004
angles: 90.01 62.80 128.94
Each line ends with the local moment (μB).
Fractional coordinates of all 4 atoms:
1 Se 0.0000 0.0000 0.0000  -0.01
2 Se 0.5000 0.0000 0.5000  -0.01
3 Re 0.5000 0.5000 0.0000  0.77
4 La 0.0000 0.5000 0.5000  -0.01

LaReSe2 | PBE | relaxed

abc: 6.7803 6.7803 6.7803
angles: 150.94 144.75 46.31
Fractional coordinates of all 4 atoms:
1 Se 0.0633 0.0633 0.0000
2 Se 0.7710 0.2710 0.5000
3 Re 0.2163 0.7163 0.5000
4 La 0.4494 0.4494 0.0000

Per-record VASP energy, eV per atom: -6.807; -6.403; -6.458